(1)
Computed, not measured: MgGa2F6 after structural relaxation at the PBE level of DFT.

a = 3.3966 Å, b = 6.0602 Å, c = 6.0500 Å
α = 97.75°, β = 90.00°, γ = 106.27°
Closest atoms and distances in Å follow each position.
Fractional positions:
F1 0.4161 0.8322 0.3371  1 Ga 2.03, 2 Mg 2.13
F2 0.0910 0.1820 0.2422  1 Ga 1.90, 1 Mg 2.00
F3 0.9090 0.8180 0.7578  1 Ga 1.90, 1 Mg 2.00
Ga1 0.7522 0.5043 0.8101  4 F 1.90-2.03
F4 0.2402 0.4805 0.6504  2 Ga 1.95
F5 0.7598 0.5195 0.3496  2 Ga 1.95
Ga2 0.2478 0.4957 0.1899  4 F 1.90-2.03
Mg1 0.0000 0.0000 0.5000  6 F 2.00-2.13
F6 0.5839 0.1678 0.6629  1 Ga 2.03, 2 Mg 2.13

Summary:
- Magnetization: 0.00 μB/f.u.
- E_tot: -41.83 eV for the cell shown
- Raw formation energy: -2550 meV per atom
- Polymorph energy (0 for the lowest one): 2.68 kcal/mol of atoms


(2)
Computed, not measured: MgGa3F after structural relaxation at the PBE level of DFT.

a = 4.6757 Å, b = 4.6757 Å, c = 4.6757 Å
α = 90.00°, β = 90.00°, γ = 90.00°
Closest atoms and distances in Å follow each position.
Fractional positions:
Ga1 0.5000 0.0000 0.0000  2 F 2.34
Ga2 0.0000 0.5000 0.0000  2 F 2.34
Mg1 0.5000 0.5000 0.5000  12 Ga 3.31
Ga3 0.0000 0.0000 0.5000  2 F 2.34
F1 0.0000 0.0000 0.0000  6 Ga 2.34

Summary:
- Magnetization: 0.00 μB/f.u.
- E_tot: -14.55 eV for the cell shown
- Raw formation energy: -400 meV per atom
- Polymorph energy (0 for the lowest one): 0.00 kcal/mol of atoms


(3)
Computed, not measured: MgGa2F after structural relaxation at the PBE level of DFT.

a = 3.5603 Å, b = 3.5603 Å, c = 11.6086 Å
α = 81.18°, β = 81.18°, γ = 90.00°
Closest atoms and distances in Å follow each position.
Fractional positions:
Mg1 0.7500 0.2500 0.5000  4 F 2.52
Ga1 0.8750 0.8777 0.7500  4 Ga 2.50-2.53
F1 0.5000 0.5000 0.0000  4 Mg 2.52
Ga2 0.3750 0.3723 0.7500  4 Ga 2.50-2.53
Ga3 0.6277 0.1250 0.2500  4 Ga 2.50-2.53
F2 0.2500 0.7500 0.5000  4 Mg 2.52
Ga4 0.1223 0.6250 0.2500  4 Ga 2.50-2.53
Mg2 0.0000 0.0000 0.0000  4 F 2.52

Summary:
- Magnetization: 0.00 μB/f.u.
- E_tot: -25.54 eV for the cell shown
- Raw formation energy: -812 meV per atom
- Polymorph energy (0 for the lowest one): 0.00 kcal/mol of atoms


(4)
Computed, not measured: MgGaF2 after structural relaxation at the PBE level of DFT.

a = 7.2960 Å, b = 7.2960 Å, c = 7.2960 Å
α = 28.52°, β = 28.52°, γ = 28.52°
Closest atoms and distances in Å follow each position.
Fractional positions:
Ga1 0.5000 0.5000 0.5000  6 F 2.62
F1 0.0906 0.0906 0.0906  1 Mg 1.90
Mg1 0.0000 0.0000 0.0000  2 F 1.90
F2 0.9094 0.9094 0.9094  1 Mg 1.90

Summary:
- Magnetization: 0.00 μB/f.u.
- E_tot: -15.36 eV for the cell shown
- Raw formation energy: -1749 meV per atom
- Polymorph energy (0 for the lowest one): 15.75 kcal/mol of atoms


(5)
Computed, not measured: MgGaF2 after structural relaxation at the PBE level of DFT.

a = 5.8924 Å, b = 5.8924 Å, c = 6.1766 Å
α = 61.51°, β = 61.51°, γ = 90.00°
Closest atoms and distances in Å follow each position.
Fractional positions:
F1 0.3258 0.6250 0.2500  2 Mg 1.89
F2 0.3750 0.5758 0.7500  2 Mg 1.89
F3 0.8750 0.6742 0.7500  2 Mg 1.89
F4 0.4242 0.1250 0.2500  2 Mg 1.89
Mg1 0.2500 0.7500 0.5000  4 F 1.89
Ga1 0.7500 0.2500 0.5000  4 F 3.24
Ga2 0.0000 0.0000 0.0000  4 F 3.24
Mg2 0.5000 0.5000 0.0000  4 F 1.89

Summary:
- Magnetization: 0.23 μB/f.u.
- E_tot: -33.91 eV for the cell shown
- Raw formation energy: -2148 meV per atom
- Polymorph energy (0 for the lowest one): 6.55 kcal/mol of atoms


(6)
Computed, not measured: MgGa3F after structural relaxation at the PBE level of DFT.

a = 5.1648 Å, b = 5.1648 Å, c = 5.1648 Å
α = 90.00°, β = 90.00°, γ = 90.00°
Closest atoms and distances in Å follow each position.
Fractional positions:
Ga1 0.0000 0.0000 0.5000  2 Mg 2.58
F1 0.5000 0.5000 0.5000  12 Ga 3.65
Ga2 0.5000 0.0000 0.0000  2 Mg 2.58
Ga3 0.0000 0.5000 0.0000  2 Mg 2.58
Mg1 0.0000 0.0000 0.0000  6 Ga 2.58

Summary:
- Magnetization: 0.00 μB/f.u.
- E_tot: -11.95 eV for the cell shown
- Raw formation energy: 119 meV per atom
- Polymorph energy (0 for the lowest one): 11.97 kcal/mol of atoms


(7)
Computed, not measured: MgGaF5 after structural relaxation at the PBE level of DFT.

a = 3.7271 Å, b = 5.2895 Å, c = 5.2895 Å
α = 73.76°, β = 69.37°, γ = 69.37°
Closest atoms and distances in Å follow each position.
Fractional positions:
F1 0.5000 0.0000 0.0000  2 Ga 1.86
F2 0.0000 0.6957 0.3043  1 Ga 1.93
Mg1 0.5000 0.5000 0.5000  2 F 1.90
F3 0.7505 0.2495 0.2495  1 Ga 1.90, 1 Mg 1.90
F4 0.0000 0.3043 0.6957  1 Ga 1.93
Ga1 0.0000 0.0000 0.0000  6 F 1.86-1.93
F5 0.2495 0.7505 0.7505  1 Ga 1.90, 1 Mg 1.90

Summary:
- Magnetization: 0.00 μB/f.u.
- E_tot: -34.67 eV for the cell shown
- Raw formation energy: -2956 meV per atom


(8)
Computed, not measured: MgGaF2 after structural relaxation at the PBE level of DFT.

a = 4.3755 Å, b = 4.3755 Å, c = 4.3755 Å
α = 60.00°, β = 60.00°, γ = 60.00°
Closest atoms and distances in Å follow each position.
Fractional positions:
F1 0.2500 0.2500 0.2500  4 Ga 2.68, 4 Mg 2.68
Mg1 0.0000 0.0000 0.0000  8 F 2.68
Ga1 0.5000 0.5000 0.5000  8 F 2.68
F2 0.7500 0.7500 0.7500  4 Ga 2.68, 4 Mg 2.68

Summary:
- Magnetization: 0.00 μB/f.u.
- E_tot: -14.18 eV for the cell shown
- Raw formation energy: -1453 meV per atom
- Polymorph energy (0 for the lowest one): 22.58 kcal/mol of atoms